No. 1
# YTcMo2

A geometry-optimized YTcMo2 structure (GGA-PBE, Alexandria via LeMat-Bulk).

Cell lengths 3.0770, 3.0770, 27.0310 Å; angles 90.00, 90.00, 120.00 degrees
Space group R-3m (No. 166, hexagonal axes)
Asymmetric unit:
Y (0.0000, 0.0000, 0.0000) [3 per cell]
Tc (0.0000, 0.0000, 0.5000) [3 per cell]
Mo (0.0000, 0.0000, 0.2383) [6 per cell]

Calculated volume (A^3/atom): 18.47
E_form (eV/f.u.): 2.097
E (eV per atom): -9.0989

No. 2
# YTc2Mo

A geometry-optimized YTc2Mo structure (GGA-PBE, Alexandria via LeMat-Bulk).

Cell lengths 3.218, 4.767, 9.029 Å; angles 90.00, 90.00, 90.00 degrees
Space group Cmmm (No. 65)
Asymmetric unit:
Y (0.000, 0.000, 0.000) [2 per cell]
Tc (0.000, 0.500, 0.272) [4 per cell]
Mo (0.000, 0.000, 0.500) [2 per cell]

Calculated volume (A^3/atom): 17.32
E_form (eV/f.u.): 1.152
E (eV per atom): -9.2188

No. 3
# YTcMo2

A geometry-optimized YTcMo2 structure (GGA-PBE, Alexandria via LeMat-Bulk).

Cell lengths 3.193, 3.193, 7.237 Å; angles 90.00, 90.00, 90.00 degrees
Space group P4/mmm (No. 123)
Asymmetric unit:
Y (0.000, 0.000, 0.000) [1 per cell]
Tc (0.000, 0.000, 0.500) [1 per cell]
Mo (0.500, 0.500, 0.299) [2 per cell]

Calculated volume (A^3/atom): 18.44
E_form (eV/f.u.): 1.076
E (eV per atom): -9.3541

No. 4
# YTc2Mo

A geometry-optimized YTc2Mo structure (GGA-PBE, Alexandria via LeMat-Bulk).

Cell lengths 6.484, 6.484, 6.484 Å; angles 90.00, 90.00, 90.00 degrees
Space group F-43m (No. 216)
Asymmetric unit:
Y (0.000, 0.000, 0.000) [4 per cell]
Tc (0.000, 0.000, 0.500) [4 per cell]
Tc (0.250, 0.250, 0.750) [4 per cell]
Mo (0.250, 0.250, 0.250) [4 per cell]

Calculated volume (A^3/atom): 17.03
E_form (eV/f.u.): 0.987
E (eV per atom): -9.2600